(1)
Compound: Ca2Si9Ir3
Source: Alexandria
Functional: GGA-PBE
Structure: optimized geometry

Summary:
Size of the total moment: 0.00 μB/f.u.
Density: 6.71 Mg/m³
Formation energy without anion corrections: -353.8 meV per atom

abc: 13.399 7.529 10.036
angles: 90.00 117.17 90.00
Space group C2/c (No. 15)
Symmetry-distinct sites (fractional):
Ca (0.173, 0.090, 0.265) x8
Si (0.000, 0.393, 0.250) x4
Si (0.058, 0.070, 0.926) x8
Si (0.091, 0.306, 0.750) x8
Si (0.114, 0.418, 0.081) x8
Si (0.204, 0.437, 0.397) x8
Ir (0.062, 0.257, 0.497) x8
Ir (0.250, 0.250, 0.000) x4

---

(2)
Compound: CaSiIr2
Source: Alexandria
Functional: GGA-PBE
Structure: optimized geometry

Summary:
Size of the total moment: 0.00 μB/f.u.
Density: 10.10 Mg/m³
Formation energy without anion corrections: -243.7 meV per atom

abc: 7.211 7.211 5.726
angles: 90.00 90.00 90.00
Space group I-42d (No. 122)
Symmetry-distinct sites (fractional):
Ca (0.000, 0.000, 0.000) x4
Si (0.000, 0.000, 0.500) x4
Ir (0.172, 0.250, 0.625) x8

---

(3)
Compound: CaSiIr2
Source: Alexandria
Functional: GGA-PBE
Structure: optimized geometry

Summary:
Size of the total moment: 0.00 μB/f.u.
Density: 10.99 Mg/m³
Formation energy without anion corrections: -206.9 meV per atom

abc: 3.027 5.105 8.848
angles: 90.00 90.00 90.00
Space group Immm (No. 71)
Symmetry-distinct sites (fractional):
Ca (0.000, 0.000, 0.000) x2
Si (0.000, 0.000, 0.500) x2
Ir (0.000, 0.500, 0.204) x4

---

(4)
Compound: CaSi2Ir4
Source: Alexandria
Functional: GGA-PBE
Structure: optimized geometry

Summary:
Size of the total moment: 0.00 μB/f.u.
Density: 12.80 Mg/m³
Formation energy without anion corrections: -647.6 meV per atom

abc: 7.632 7.632 3.854
angles: 90.00 90.00 90.00
Space group P4_2/mnm (No. 136)
Symmetry-distinct sites (fractional):
Ca (0.000, 0.000, 0.000) x2
Si (0.228, 0.228, 0.500) x4
Ir (0.075, 0.663, 0.500) x8